Record 1
The following is a GGA-PBE calculation of ScFeS2 after structural relaxation, from Alexandria.

abc: 6.6975 6.6975 6.6975
angles: 134.06 134.06 67.00
Atoms (fractional coordinates):
Sc  0.0000  0.0000  0.0000
Sc  0.7500  0.2500  0.5000
Fe  0.2500  0.7500  0.5000
Fe  0.5000  0.5000  0.0000
S  0.1762  0.6250  0.0512
S  0.3750  0.4262  0.5512
S  0.5738  0.1250  0.9488
S  0.8750  0.8238  0.4488

Summary:
For the distance to the lowest polymorph of the same formula, the calculation gives 0.01 eV per formula unit. The space-group type is I-42d, No. 122. Its density of states at the Fermi level is 0.58 states/eV/atom. The value obtained for the magnetic moment is 0.0 μB/cell. Its electronic total energy is -6.631 eV per atom.


Record 2
The following is a GGA-PBE calculation of Nb2Te8Pd3 after structural relaxation, from Alexandria.

abc: 11.6411 16.4466 3.8500
angles: 90.00 90.00 90.00
Atoms (fractional coordinates):
Nb  0.2026  0.1241  0.0000
Nb  0.2974  0.6241  0.0000
Nb  0.7026  0.3759  0.0000
Nb  0.7974  0.8759  0.0000
Te  0.0299  0.1585  0.5000
Te  0.0583  0.6251  0.0000
Te  0.2268  0.9981  0.5000
Te  0.2347  0.2905  0.0000
Te  0.2653  0.7905  0.0000
Te  0.2732  0.4981  0.5000
Te  0.4417  0.1251  0.0000
Te  0.4701  0.6585  0.5000
Te  0.5299  0.3415  0.5000
Te  0.5583  0.8749  0.0000
Te  0.7268  0.5019  0.5000
Te  0.7347  0.2095  0.0000
Te  0.7653  0.7095  0.0000
Te  0.7732  0.0019  0.5000
Te  0.9417  0.3749  0.0000
Te  0.9701  0.8415  0.5000
Pd  0.0000  0.0000  0.5000
Pd  0.1374  0.7226  0.5000
Pd  0.3626  0.2226  0.5000
Pd  0.5000  0.5000  0.5000
Pd  0.6374  0.7774  0.5000
Pd  0.8626  0.2774  0.5000

Summary:
The space-group type is Pbam, No. 55. Its density of states at the Fermi level is 0.09 states/eV/atom. The value obtained for the magnetic moment is 0.0 μB/cell. Its electronic total energy is -5.106 eV per atom.